Here is crystalline SrTm2Al7Ag2 at its relaxed geometry from OQMD. Energies are from PBE.

Computed properties:
E = -0.1453 Ha/atom
crystal system = trigonal

Structure (POSCAR):
```
SrTm2Al7Ag2
1.0
-3.809 0.945 8.533
1.633 2.124 9.002
-1.896 5.967 7.001
Ag Al Sr Tm
2 7 1 2
Direct
0.336 0.336 0.336
0.664 0.664 0.664
0.590 0.590 0.077
0.923 0.410 0.410
0.410 0.923 0.410
0.500 0.500 0.500
0.590 0.077 0.590
0.077 0.590 0.590
0.410 0.410 0.923
0.000 0.000 0.000
0.143 0.143 0.143
0.857 0.857 0.857
```

***

Here is crystalline Sr2TmAl7Ag2 at its relaxed geometry from OQMD. Energies are from PBE.

Computed properties:
E = -0.1312 Ha/atom
crystal system = trigonal

Structure (POSCAR):
```
Sr2TmAl7Ag2
1.0
2.834 1.636 9.055
-2.834 1.636 9.055
0.000 -3.273 9.055
Ag Al Sr Tm
2 7 2 1
Direct
0.336 0.336 0.336
0.664 0.664 0.664
0.582 0.582 0.074
0.926 0.418 0.418
0.418 0.926 0.418
0.500 0.500 0.500
0.582 0.074 0.582
0.074 0.582 0.582
0.418 0.418 0.926
0.142 0.142 0.142
0.858 0.858 0.858
0.000 0.000 0.000
```